[1]
Entry from the Alexandria database: BeCuAs after structural relaxation (PBE).

Symmetry = P1, No. 1
Size of the total moment = 0.00 μB/f.u.
VASP energy = -25.0 eV per cell
ΔE_f = -1 kJ per mole of atoms
N(E_F) = 0.15 states/eV/f.u.

Lattice parameters (Å, degrees): 6.643 4.193 3.774 116.78 89.99 90.90
Fractional coordinates of all 6 atoms:
As 0.816 0.831 0.083
As 0.294 0.637 0.485
Cu 0.460 0.061 0.198
Cu 0.719 0.219 0.778
Be 0.638 0.621 0.478
Be 0.149 0.800 0.067

[2]
Entry from the Alexandria database: Ce2ZrCd after structural relaxation (PBE).

Symmetry = P4/mmm, No. 123
Size of the total moment = 0.93 μB/f.u.
VASP energy = -21.3 eV per cell
E above lowest polymorph = 42.0 meV/atom
ΔE_f = 1 kJ per mole of atoms
N(E_F) = 9.25 states/eV/f.u.

Lattice parameters (Å, degrees): 5.012 4.458 4.458 90.00 90.00 90.00
Fractional coordinates of all 4 atoms:
Zr 0.500 0.500 0.500
Cd 0.500 0.000 0.000
Ce 0.000 0.000 0.500
Ce 0.000 0.500 0.000

[3]
Entry from the Alexandria database: LiMg4AgPd2 after structural relaxation (PBE).

Symmetry = R-3m, No. 166
Size of the total moment = 0.00 μB/f.u.
VASP energy = -25.4 eV per cell
ΔE_f = -46 kJ per mole of atoms
N(E_F) = 3.01 states/eV/f.u.

Lattice parameters (Å, degrees): 4.603 4.603 7.917 73.10 73.10 60.00
Fractional coordinates of all 8 atoms:
Pd 0.251 0.251 0.248
Pd 0.749 0.749 0.752
Mg 0.125 0.125 0.625
Mg 0.625 0.625 0.125
Mg 0.875 0.875 0.375
Mg 0.375 0.375 0.875
Li 0.000 0.000 0.000
Ag 0.500 0.500 0.500

[4]
Entry from the Alexandria database: MgTiInIr after structural relaxation (PBE).

Symmetry = P4mm, No. 99
Size of the total moment = 0.00 μB/f.u.
VASP energy = -22.9 eV per cell
ΔE_f = -44 kJ per mole of atoms
N(E_F) = 1.50 states/eV/f.u.

Lattice parameters (Å, degrees): 3.076 3.076 7.645 90.00 90.00 90.00
Fractional coordinates of all 4 atoms:
Ir 0.000 0.000 0.553
Ti 0.500 0.500 0.363
Mg 0.500 0.500 0.782
In 0.000 0.000 0.087

[5]
Entry from the Alexandria database: CuTcSe2 after structural relaxation (PBE).

Symmetry = Cm, No. 8
Size of the total moment = 0.00 μB/f.u.
VASP energy = -21.3 eV per cell
Formation energy without anion corrections = 0.04 eV per atom
E above lowest polymorph = 70.8 meV/atom
N(E_F) = 2.47 states/eV/f.u.

Lattice parameters (Å, degrees): 4.301 4.301 6.437 82.60 82.60 43.68
Fractional coordinates of all 4 atoms:
Se 0.988 0.988 0.153
Se 0.769 0.769 0.630
Cu 0.252 0.252 0.243
Tc 0.492 0.492 0.473

[6]
Entry from the Alexandria database: FePC2 after structural relaxation (PBE).

Symmetry = R3m, No. 160
Size of the total moment = 0.00 μB/f.u.
VASP energy = -61.0 eV per cell
ΔE_f = 44 kJ per mole of atoms
N(E_F) = 0.80 states/eV/f.u.

Lattice parameters (Å, degrees): 5.339 3.032 5.259 90.00 109.12 90.00
Fractional coordinates of all 8 atoms:
Fe 0.771 0.500 0.731
Fe 0.771 0.000 0.231
C 0.355 0.000 0.092
C 0.803 0.500 0.075
C 0.355 0.500 0.592
C 0.803 0.000 0.575
P 0.217 0.500 0.880
P 0.217 0.000 0.380

[7]
Entry from the Alexandria database: CsRb2MnAu after structural relaxation (PBE).

Symmetry = P4/mmm, No. 123
Size of the total moment = 4.86 μB/f.u.
VASP energy = -10.9 eV per cell
ΔE_f = 84 kJ per mole of atoms
N(E_F) = 8.22 states/eV/f.u.

Lattice parameters (Å, degrees): 7.986 6.278 7.986 90.00 90.00 90.00
Fractional coordinates of all 5 atoms:
Mn 0.500 0.500 0.500
Rb 0.000 0.000 0.500
Rb 0.500 0.000 0.000
Cs 0.000 0.000 0.000
Au 0.000 0.500 0.000

[8]
Entry from the Alexandria database: Sb2ClO after structural relaxation (PBE).

Symmetry = Pm, No. 6
Size of the total moment = 0.00 μB/f.u.
VASP energy = -35.4 eV per cell
Formation energy without anion corrections = -0.66 eV per atom
E above lowest polymorph = 0.0 meV/atom

Lattice parameters (Å, degrees): 6.039 6.556 6.506 66.98 89.97 90.02
Fractional coordinates of all 8 atoms:
Cl 0.017 0.496 0.811
Cl 0.517 0.097 0.405
Sb 0.017 0.446 0.456
Sb 0.517 0.448 0.458
Sb 0.518 0.728 0.966
Sb 0.018 0.935 0.177
O 0.768 0.920 0.983
O 0.268 0.920 0.983

[9]
Entry from the Alexandria database: Cu3AsS after structural relaxation (PBE).

Symmetry = Pm-3m, No. 221
Size of the total moment = 0.00 μB/f.u.
VASP energy = -18.2 eV per cell
Formation energy without anion corrections = 0.58 eV per atom
E above lowest polymorph = 623.4 meV/atom
N(E_F) = 5.03 states/eV/f.u.

Lattice parameters (Å, degrees): 4.534 4.534 4.534 90.00 90.00 90.00
Fractional coordinates of all 5 atoms:
S 0.500 0.500 0.500
Cu 0.000 0.000 0.500
Cu 0.500 0.000 0.000
Cu 0.000 0.500 0.000
As 0.000 0.000 0.000

[10]
Entry from the Alexandria database: MgCd2Cu after structural relaxation (PBE).

Symmetry = Cmmm, No. 65
Size of the total moment = 0.00 μB/f.u.
VASP energy = -7.4 eV per cell
ΔE_f = 4 kJ per mole of atoms
N(E_F) = 0.97 states/eV/f.u.

Lattice parameters (Å, degrees): 4.927 4.927 3.215 90.02 90.02 104.49
Fractional coordinates of all 4 atoms:
Cu 0.500 0.000 0.500
Mg 0.000 0.500 0.500
Cd 0.000 0.000 0.000
Cd 0.500 0.500 0.000

[11]
Entry from the Alexandria database: CdB3Mo after structural relaxation (PBE).

Symmetry = Pm-3m, No. 221
Size of the total moment = 0.00 μB/f.u.
VASP energy = -18.3 eV per cell
E above lowest polymorph = 1438.6 meV/atom
ΔE_f = 259 kJ per mole of atoms
N(E_F) = 7.13 states/eV/f.u.

Lattice parameters (Å, degrees): 4.155 4.155 4.155 90.00 90.00 90.00
Fractional coordinates of all 5 atoms:
B 0.000 0.500 0.000
B 0.000 0.000 0.500
B 0.500 0.000 0.000
Mo 0.500 0.500 0.500
Cd 0.000 0.000 0.000

[12]
Entry from the Alexandria database: MnRu4C2 after structural relaxation (PBE).

Symmetry = I4/mmm, No. 139
Size of the total moment = 1.50 μB/f.u.
VASP energy = -55.1 eV per cell
ΔE_f = 133 kJ per mole of atoms
N(E_F) = 8.71 states/eV/f.u.

Lattice parameters (Å, degrees): 4.438 4.438 5.847 67.70 67.70 90.00
Fractional coordinates of all 7 atoms:
Ru 0.238 0.238 0.525
Ru 0.500 0.000 0.000
Ru 0.762 0.762 0.475
Ru 0.000 0.500 0.000
C 0.431 0.431 0.138
C 0.569 0.569 0.862
Mn 0.000 0.000 0.000

[13]
Entry from the Alexandria database: HfGa3Cu3 after structural relaxation (PBE).

Symmetry = Pm-3n, No. 223
Size of the total moment = 0.00 μB/f.u.
VASP energy = -54.7 eV per cell
ΔE_f = 54 kJ per mole of atoms
N(E_F) = 3.38 states/eV/f.u.

Lattice parameters (Å, degrees): 6.474 6.474 6.474 90.00 90.00 90.00
Fractional coordinates of all 14 atoms:
Cu 0.250 0.000 0.500
Cu 0.750 0.000 0.500
Cu 0.500 0.750 0.000
Cu 0.000 0.500 0.250
Cu 0.000 0.500 0.750
Cu 0.500 0.250 0.000
Ga 0.000 0.750 0.500
Ga 0.000 0.250 0.500
Ga 0.500 0.000 0.750
Ga 0.250 0.500 0.000
Ga 0.750 0.500 0.000
Ga 0.500 0.000 0.250
Hf 0.000 0.000 0.000
Hf 0.500 0.500 0.500

[14]
Entry from the Alexandria database: YTmNiPt after structural relaxation (PBE).

Symmetry = Amm2, No. 38
Size of the total moment = 0.00 μB/f.u.
VASP energy = -26.3 eV per cell
E above lowest polymorph = 0.0 meV/atom
ΔE_f = -85 kJ per mole of atoms
N(E_F) = 2.89 states/eV/f.u.

Lattice parameters (Å, degrees): 3.815 4.300 5.472 90.00 110.40 90.00
Fractional coordinates of all 4 atoms:
Pt 0.576 0.500 0.152
Ni 0.420 0.000 0.841
Y 0.143 0.000 0.285
Tm 0.861 0.500 0.722

[15]
Entry from the Alexandria database: LaNi4As2 after structural relaxation (PBE).

Symmetry = R-3m, No. 166
Size of the total moment = 0.00 μB/f.u.
VASP energy = -41.4 eV per cell
E above lowest polymorph = 0.0 meV/atom
ΔE_f = -56 kJ per mole of atoms
N(E_F) = 4.72 states/eV/f.u.

Lattice parameters (Å, degrees): 4.055 4.055 7.984 75.29 75.29 60.00
Fractional coordinates of all 7 atoms:
Ni 0.440 0.440 0.679
Ni 0.857 0.857 0.429
Ni 0.143 0.143 0.571
Ni 0.560 0.560 0.321
As 0.754 0.754 0.737
As 0.246 0.246 0.263
La 0.000 0.000 0.000

[16]
Entry from the Alexandria database: LaPRh after structural relaxation (PBE).

Symmetry = P-62m, No. 189
Size of the total moment = 0.00 μB/f.u.
VASP energy = -52.3 eV per cell
ΔE_f = 8 kJ per mole of atoms
N(E_F) = 3.44 states/eV/f.u.

Lattice parameters (Å, degrees): 7.749 7.749 5.695 90.00 90.00 120.00
Fractional coordinates of all 9 atoms:
Rh 0.667 0.333 0.000
Rh 0.333 0.667 0.000
Rh 0.000 0.000 0.500
La 0.325 0.325 0.000
La 0.675 0.000 0.000
La 0.000 0.675 0.000
P 0.000 0.716 0.500
P 0.716 0.000 0.500
P 0.284 0.284 0.500

[17]
Entry from the Alexandria database: KTl2MoCl6 after structural relaxation (PBE).

Symmetry = R-3m, No. 166
Size of the total moment = 3.00 μB/f.u.
VASP energy = -78.6 eV per cell
Formation energy without anion corrections = -1.16 eV per atom

Lattice parameters (Å, degrees): 7.274 7.274 15.603 76.52 76.52 60.00
Fractional coordinates of all 20 atoms:
Cl 0.372 0.851 0.405
Cl 0.149 0.628 0.595
Cl 0.191 0.711 0.906
Cl 0.711 0.191 0.906
Cl 0.628 0.628 0.595
Cl 0.809 0.809 0.094
Cl 0.628 0.149 0.595
Cl 0.809 0.289 0.094
Cl 0.191 0.191 0.906
Cl 0.372 0.372 0.405
Cl 0.289 0.809 0.094
Cl 0.851 0.372 0.405
K 0.585 0.585 0.244
K 0.415 0.415 0.756
Mo 0.000 0.000 0.000
Mo 0.500 0.500 0.500
Tl 0.686 0.686 0.942
Tl 0.148 0.148 0.556
Tl 0.314 0.314 0.058
Tl 0.852 0.852 0.444

[18]
Entry from the Alexandria database: Tc2WBr2 after structural relaxation (PBE).

Symmetry = I4/mmm, No. 139
Size of the total moment = 2.10 μB/f.u.
VASP energy = -28.7 eV per cell
Formation energy without anion corrections = 1.68 eV per atom
N(E_F) = 3.76 states/eV/f.u.

Lattice parameters (Å, degrees): 5.907 5.907 5.907 137.43 137.43 61.77
Fractional coordinates of all 5 atoms:
Br 0.632 0.632 0.000
Br 0.368 0.368 0.000
Tc 0.750 0.250 0.500
Tc 0.250 0.750 0.500
W 0.000 0.000 0.000

[19]
Entry from the Alexandria database: CsNb3Br after structural relaxation (PBE).

Symmetry = Pm-3m, No. 221
Size of the total moment = 0.01 μB/f.u.
VASP energy = -24.4 eV per cell
Formation energy without anion corrections = 1.67 eV per atom
E above lowest polymorph = 0.0 meV/atom
N(E_F) = 9.00 states/eV/f.u.

Lattice parameters (Å, degrees): 4.989 4.989 4.989 90.00 90.00 90.00
Fractional coordinates of all 5 atoms:
Nb 0.500 0.000 0.000
Nb 0.000 0.500 0.000
Nb 0.000 0.000 0.500
Cs 0.500 0.500 0.500
Br 0.000 0.000 0.000

[20]
Entry from the Alexandria database: ZnGaP2 after structural relaxation (PBE).

Symmetry = I-42d, No. 122
Size of the total moment = 0.00 μB/f.u.
VASP energy = -31.4 eV per cell
E above lowest polymorph = 0.0 meV/atom
ΔE_f = -14 kJ per mole of atoms
N(E_F) = 2.84 states/eV/f.u.

Lattice parameters (Å, degrees): 5.522 5.522 6.654 65.49 65.49 90.00
Fractional coordinates of all 8 atoms:
P 0.126 0.625 0.250
P 0.875 0.874 0.750
P 0.624 0.125 0.250
P 0.375 0.376 0.750
Ga 0.750 0.250 0.500
Ga 0.000 0.000 0.000
Zn 0.250 0.750 0.500
Zn 0.500 0.500 0.000

[21]
Entry from the Alexandria database: BH3Rh3 after structural relaxation (PBE).

Symmetry = R-3, No. 148
Size of the total moment = 0.00 μB/f.u.
VASP energy = -78.8 eV per cell
N(E_F) = 3.37 states/eV/f.u.

Lattice parameters (Å, degrees): 5.243 5.243 5.996 64.08 64.08 60.00
Fractional coordinates of all 14 atoms:
Rh 0.274 0.558 0.250
Rh 0.442 0.081 0.750
Rh 0.919 0.274 0.250
Rh 0.726 0.442 0.750
Rh 0.081 0.726 0.750
Rh 0.558 0.919 0.250
H 0.450 0.805 0.614
H 0.550 0.195 0.386
H 0.132 0.450 0.614
H 0.868 0.550 0.386
H 0.195 0.868 0.386
H 0.805 0.132 0.614
B 0.334 0.334 0.999
B 0.666 0.666 0.001

[22]
Entry from the Alexandria database: ZnCl3 after structural relaxation (PBE).

Symmetry = R-3m, No. 166
Size of the total moment = 1.00 μB/f.u.
VASP energy = -7.8 eV per cell
Formation energy without anion corrections = -0.24 eV per atom
N(E_F) = 3.23 states/eV/f.u.

Lattice parameters (Å, degrees): 11.425 11.425 11.425 19.84 19.84 19.84
Fractional coordinates of all 4 atoms:
Cl 0.500 0.500 0.500
Cl 0.939 0.939 0.939
Cl 0.061 0.061 0.061
Zn 0.000 0.000 0.000

[23]
Entry from the Alexandria database: Ac2IrAuC after structural relaxation (PBE).

Symmetry = P4/mmm, No. 123
Size of the total moment = 0.00 μB/f.u.
VASP energy = -32.3 eV per cell
ΔE_f = -53 kJ per mole of atoms
N(E_F) = 2.33 states/eV/f.u.

Lattice parameters (Å, degrees): 3.903 5.611 5.611 90.00 90.00 90.00
Fractional coordinates of all 5 atoms:
C 0.000 0.000 0.000
Ac 0.000 0.500 0.000
Ac 0.000 0.000 0.500
Ir 0.500 0.000 0.000
Au 0.500 0.500 0.500

[24]
Entry from the Alexandria database: Th2GaBi after structural relaxation (PBE).

Symmetry = P4/mmm, No. 123
Size of the total moment = 0.00 μB/f.u.
VASP energy = -23.4 eV per cell
E above lowest polymorph = 50.9 meV/atom
ΔE_f = -41 kJ per mole of atoms
N(E_F) = 2.68 states/eV/f.u.

Lattice parameters (Å, degrees): 3.566 3.566 8.762 90.00 90.00 90.00
Fractional coordinates of all 4 atoms:
Ga 0.500 0.500 0.500
Bi 0.500 0.500 0.000
Th 0.000 0.000 0.273
Th 0.000 0.000 0.727

[25]
Entry from the Alexandria database: GaPd2AuF after structural relaxation (PBE).

Symmetry = P4/mmm, No. 123
Size of the total moment = 0.00 μB/f.u.
VASP energy = -20.0 eV per cell
Formation energy without anion corrections = -0.28 eV per atom
N(E_F) = 1.36 states/eV/f.u.

Lattice parameters (Å, degrees): 4.773 3.886 4.773 90.00 90.00 90.00
Fractional coordinates of all 5 atoms:
Ga 0.000 0.000 0.000
Au 0.500 0.500 0.500
Pd 0.000 0.000 0.500
Pd 0.500 0.000 0.000
F 0.000 0.500 0.000

[26]
Entry from the Alexandria database: Hf2NbBi after structural relaxation (PBE).

Symmetry = P2_1/m, No. 11
Size of the total moment = 0.00 μB/f.u.
VASP energy = -68.1 eV per cell
ΔE_f = -5 kJ per mole of atoms
N(E_F) = 3.59 states/eV/f.u.

Lattice parameters (Å, degrees): 3.431 7.054 7.901 90.00 102.33 90.00
Fractional coordinates of all 8 atoms:
Nb 0.988 0.419 0.087
Nb 0.972 0.919 0.055
Bi 0.765 0.919 0.636
Bi 0.195 0.419 0.506
Hf 0.376 0.194 0.861
Hf 0.584 0.694 0.281
Hf 0.376 0.643 0.861
Hf 0.584 0.143 0.281